# 1
DFT (PBE) results for NdIr after structural relaxation.

Structure (CIF):
```
data_NdIr
_chemical_formula_sum 'Nd1 Ir1'
_cell_length_a 3.6828
_cell_length_b 3.6828
_cell_length_c 3.9285
_cell_angle_alpha 90.00
_cell_angle_beta 90.00
_cell_angle_gamma 120.00
_symmetry_space_group_name_H-M 'P -6 m 2'
_symmetry_Int_Tables_number 187
_symmetry_space_group_name_Hall 'P -6 2'
loop_
_atom_site_label
_atom_site_type_symbol
_atom_site_fract_x
_atom_site_fract_y
_atom_site_fract_z
Nd1 Nd 0.0000 0.0000 0.0000
Ir1 Ir 0.3333 0.6667 0.5000
```

Results
The value obtained for the density is 12.11 g cm⁻³. The calculation puts the energy of formation at -0.12 eV/atom. The crystal system is hexagonal.

# 2
DFT (PBE) results for Er3SnTe2 after structural relaxation.

Structure (CIF):
```
data_Er3SnTe2
_chemical_formula_sum 'Er6 Sn2 Te4'
_cell_length_a 4.368
_cell_length_b 6.121
_cell_length_c 13.020
_cell_angle_alpha 90.00
_cell_angle_beta 90.00
_cell_angle_gamma 90.00
_symmetry_space_group_name_H-M 'I m m m'
_symmetry_Int_Tables_number 71
_symmetry_space_group_name_Hall '-I 2 2'
loop_
_atom_site_label
_atom_site_type_symbol
_atom_site_fract_x
_atom_site_fract_y
_atom_site_fract_z
Er1 Er 0.000 0.000 0.000
Er2 Er 0.000 0.000 0.342
Sn1 Sn 0.000 0.500 0.000
Te1 Te 0.000 0.500 0.330
```

Results
The value obtained for the density is 8.35 g cm⁻³. The crystal system is orthorhombic. Its total energy is -61.362 eV for the cell shown.

# 3
DFT (PBE) results for SrLi2Os after structural relaxation.

Structure (CIF):
```
data_SrLi2Os
_chemical_formula_sum 'Sr4 Li8 Os4'
_cell_length_a 6.764
_cell_length_b 6.764
_cell_length_c 6.764
_cell_angle_alpha 90.00
_cell_angle_beta 90.00
_cell_angle_gamma 90.00
_symmetry_space_group_name_H-M 'F -4 3 m'
_symmetry_Int_Tables_number 216
_symmetry_space_group_name_Hall 'F -4 2 3'
loop_
_atom_site_label
_atom_site_type_symbol
_atom_site_fract_x
_atom_site_fract_y
_atom_site_fract_z
Sr1 Sr 0.000 0.000 0.000
Li1 Li 0.000 0.000 0.500
Li2 Li 0.250 0.250 0.750
Os1 Os 0.250 0.250 0.250
```

Results
The value obtained for the density is 6.26 g cm⁻³. The crystal system is cubic. Its total energy is -55.724 eV for the cell shown.

# 4
DFT (PBE) results for Li2LuMg after structural relaxation.

Structure (CIF):
```
data_Li2LuMg
_chemical_formula_sum 'Li8 Lu4 Mg4'
_cell_length_a 7.125
_cell_length_b 7.125
_cell_length_c 7.125
_cell_angle_alpha 90.00
_cell_angle_beta 90.00
_cell_angle_gamma 90.00
_symmetry_space_group_name_H-M 'F -4 3 m'
_symmetry_Int_Tables_number 216
_symmetry_space_group_name_Hall 'F -4 2 3'
loop_
_atom_site_label
_atom_site_type_symbol
_atom_site_fract_x
_atom_site_fract_y
_atom_site_fract_z
Li1 Li 0.000 0.000 0.000
Li2 Li 0.250 0.250 0.250
Lu1 Lu 0.250 0.250 0.750
Mg1 Mg 0.000 0.000 0.500
```

Results
The value obtained for the density is 3.91 g cm⁻³. The crystal system is cubic. Its total energy is -36.894 eV for the cell shown.

# 5
DFT (PBE) results for NaGdGe2O6 after structural relaxation.

Structure (CIF):
```
data_NaGdGe2O6
_chemical_formula_sum 'Na4 Gd4 Ge8 O24'
_cell_length_a 10.515
_cell_length_b 9.417
_cell_length_c 5.636
_cell_angle_alpha 90.00
_cell_angle_beta 106.25
_cell_angle_gamma 90.00
_symmetry_space_group_name_H-M 'C 1 2/c 1'
_symmetry_Int_Tables_number 15
_symmetry_space_group_name_Hall '-C 2yc'
loop_
_atom_site_label
_atom_site_type_symbol
_atom_site_fract_x
_atom_site_fract_y
_atom_site_fract_z
Na1 Na 0.000 0.184 0.250
Gd1 Gd 0.000 0.388 0.750
Ge1 Ge 0.211 0.088 0.738
O1 O 0.116 0.416 0.154
O2 O 0.141 0.251 0.643
O3 O 0.142 0.029 0.981
```

Results
The value obtained for the density is 5.23 g cm⁻³. The crystal system is monoclinic. Its total energy is -267.874 eV for the cell shown.

# 6
DFT (PBE) results for YTmNi2C4 after structural relaxation.

Structure (CIF):
```
data_YTmNi2C4
_chemical_formula_sum 'Y1 Tm1 Ni2 C4'
_cell_length_a 3.514
_cell_length_b 3.514
_cell_length_c 7.399
_cell_angle_alpha 90.00
_cell_angle_beta 90.00
_cell_angle_gamma 90.00
_symmetry_space_group_name_H-M 'P 4 m m'
_symmetry_Int_Tables_number 99
_symmetry_space_group_name_Hall 'P 4 -2'
loop_
_atom_site_label
_atom_site_type_symbol
_atom_site_fract_x
_atom_site_fract_y
_atom_site_fract_z
Y1 Y 0.000 0.000 0.000
Tm1 Tm 0.500 0.500 0.667
Ni1 Ni 0.000 0.500 0.334
C1 C 0.000 0.000 0.489
C2 C 0.000 0.000 0.676
C3 C 0.500 0.500 0.174
C4 C 0.500 0.500 0.986
```

Results
The value obtained for the density is 7.69 g cm⁻³. The crystal system is tetragonal. Its total energy is -61.016 eV for the cell shown.

# 7
DFT (PBE) results for LiZnCuAg after structural relaxation.

Structure (CIF):
```
data_LiZnCuAg
_chemical_formula_sum 'Li4 Zn4 Cu4 Ag4'
_cell_length_a 6.132
_cell_length_b 6.132
_cell_length_c 6.132
_cell_angle_alpha 90.00
_cell_angle_beta 90.00
_cell_angle_gamma 90.00
_symmetry_space_group_name_H-M 'F -4 3 m'
_symmetry_Int_Tables_number 216
_symmetry_space_group_name_Hall 'F -4 2 3'
loop_
_atom_site_label
_atom_site_type_symbol
_atom_site_fract_x
_atom_site_fract_y
_atom_site_fract_z
Li1 Li 0.000 0.000 0.000
Zn1 Zn 0.250 0.250 0.250
Cu1 Cu 0.000 0.000 0.500
Ag1 Ag 0.250 0.250 0.750
```

Results
The value obtained for the density is 7.02 g cm⁻³. The crystal system is cubic. Its energy relative to the lowest polymorph listed for this composition is 0.000 eV/atom.

# 8
DFT (PBE) results for NdTmCo after structural relaxation.

Structure (CIF):
```
data_NdTmCo
_chemical_formula_sum 'Nd4 Tm4 Co4'
_cell_length_a 6.627
_cell_length_b 6.627
_cell_length_c 6.627
_cell_angle_alpha 90.00
_cell_angle_beta 90.00
_cell_angle_gamma 90.00
_symmetry_space_group_name_H-M 'F -4 3 m'
_symmetry_Int_Tables_number 216
_symmetry_space_group_name_Hall 'F -4 2 3'
loop_
_atom_site_label
_atom_site_type_symbol
_atom_site_fract_x
_atom_site_fract_y
_atom_site_fract_z
Nd1 Nd 0.000 0.000 0.000
Tm1 Tm 0.250 0.250 0.750
Co1 Co 0.000 0.000 0.500
```

Results
The value obtained for the density is 8.49 g cm⁻³. The calculation puts the energy of formation at 0.75 eV/atom. The crystal system is cubic. Its energy relative to the lowest polymorph listed for this composition is 0.000 eV/atom.

# 9
DFT (PBE) results for TbNdNO after structural relaxation.

Structure (CIF):
```
data_TbNdNO
_chemical_formula_sum 'Tb2 Nd2 N2 O2'
_cell_length_a 4.058
_cell_length_b 7.044
_cell_length_c 5.047
_cell_angle_alpha 90.00
_cell_angle_beta 90.00
_cell_angle_gamma 90.00
_symmetry_space_group_name_H-M 'P m c 21'
_symmetry_Int_Tables_number 26
_symmetry_space_group_name_Hall 'P 2c -2'
loop_
_atom_site_label
_atom_site_type_symbol
_atom_site_fract_x
_atom_site_fract_y
_atom_site_fract_z
Tb1 Tb 0.000 0.169 0.000
Nd1 Nd 0.500 0.336 0.500
N1 N 0.500 0.324 0.001
O1 O 0.000 0.155 0.497
```

Results
The value obtained for the density is 7.67 g cm⁻³. The crystal system is orthorhombic. Its energy relative to the lowest polymorph listed for this composition is 0.041 eV/atom.

# 10
DFT (PBE) results for Li2PbAu2 after structural relaxation.

Structure (CIF):
```
data_Li2PbAu2
_chemical_formula_sum 'Li4 Pb2 Au4'
_cell_length_a 7.664
_cell_length_b 7.664
_cell_length_c 3.193
_cell_angle_alpha 90.00
_cell_angle_beta 90.00
_cell_angle_gamma 90.00
_symmetry_space_group_name_H-M 'P 4/m b m'
_symmetry_Int_Tables_number 127
_symmetry_space_group_name_Hall '-P 4 2ab'
loop_
_atom_site_label
_atom_site_type_symbol
_atom_site_fract_x
_atom_site_fract_y
_atom_site_fract_z
Li1 Li 0.159 0.341 0.000
Pb1 Pb 0.000 0.000 0.500
Au1 Au 0.133 0.633 0.500
```

Results
The value obtained for the density is 10.89 g cm⁻³. The crystal system is tetragonal. Its energy relative to the lowest polymorph listed for this composition is 0.000 eV/atom.

# 11
DFT (PBE) results for TmCo after structural relaxation.

Structure (CIF):
```
data_TmCo
_chemical_formula_sum 'Tm3 Co3'
_cell_length_a 3.3799
_cell_length_b 3.3799
_cell_length_c 11.4306
_cell_angle_alpha 90.00
_cell_angle_beta 90.00
_cell_angle_gamma 120.00
_symmetry_space_group_name_H-M 'R -3 m'
_symmetry_Int_Tables_number 166
_symmetry_space_group_name_Hall '-R 3 2"'
loop_
_atom_site_label
_atom_site_type_symbol
_atom_site_fract_x
_atom_site_fract_y
_atom_site_fract_z
Tm1 Tm 0.0000 0.0000 0.0000
Co1 Co 0.0000 0.0000 0.5000
```

Results
The value obtained for the density is 10.04 g cm⁻³. The calculation puts the energy of formation at 0.16 eV/atom. The crystal system is trigonal.

# 12
DFT (PBE) results for LiTlInAu after structural relaxation.

Structure (CIF):
```
data_LiTlInAu
_chemical_formula_sum 'Li4 Tl4 In4 Au4'
_cell_length_a 7.016
_cell_length_b 7.016
_cell_length_c 7.016
_cell_angle_alpha 90.00
_cell_angle_beta 90.00
_cell_angle_gamma 90.00
_symmetry_space_group_name_H-M 'F -4 3 m'
_symmetry_Int_Tables_number 216
_symmetry_space_group_name_Hall 'F -4 2 3'
loop_
_atom_site_label
_atom_site_type_symbol
_atom_site_fract_x
_atom_site_fract_y
_atom_site_fract_z
Li1 Li 0.000 0.000 0.000
Tl1 Tl 0.250 0.250 0.250
In1 In 0.000 0.000 0.500
Au1 Au 0.250 0.250 0.750
```

Results
The value obtained for the density is 10.06 g cm⁻³. The crystal system is cubic. Its energy relative to the lowest polymorph listed for this composition is 0.000 eV/atom.

# 13
DFT (PBE) results for TlAuO3 after structural relaxation.

Structure (CIF):
```
data_TlAuO3
_chemical_formula_sum 'Tl6 Au6 O18'
_cell_length_a 5.7257
_cell_length_b 5.7257
_cell_length_c 14.9994
_cell_angle_alpha 90.00
_cell_angle_beta 90.00
_cell_angle_gamma 120.00
_symmetry_space_group_name_H-M 'R -3'
_symmetry_Int_Tables_number 148
_symmetry_space_group_name_Hall '-R 3'
loop_
_atom_site_label
_atom_site_type_symbol
_atom_site_fract_x
_atom_site_fract_y
_atom_site_fract_z
Tl1 Tl 0.0000 0.0000 0.1332
Au1 Au 0.0000 0.0000 0.3456
O1 O 0.0225 0.3101 0.2554
```

Results
The value obtained for the density is 10.51 g cm⁻³. The crystal system is trigonal. Its total energy is -126.893 eV for the cell shown.

# 14
DFT (PBE) results for Lu4CdFeN2 after structural relaxation.

Structure (CIF):
```
data_Lu4CdFeN2
_chemical_formula_sum 'Lu4 Cd1 Fe1 N2'
_cell_length_a 3.3501
_cell_length_b 3.3501
_cell_length_c 14.9096
_cell_angle_alpha 90.00
_cell_angle_beta 90.00
_cell_angle_gamma 120.00
_symmetry_space_group_name_H-M 'P -6 m 2'
_symmetry_Int_Tables_number 187
_symmetry_space_group_name_Hall 'P -6 2'
loop_
_atom_site_label
_atom_site_type_symbol
_atom_site_fract_x
_atom_site_fract_y
_atom_site_fract_z
Lu1 Lu 0.0000 0.0000 0.1374
Lu2 Lu 0.6667 0.3333 0.3197
Cd1 Cd 0.0000 0.0000 0.5000
Fe1 Fe 0.6667 0.3333 0.0000
N1 N 0.3333 0.6667 0.2397
```

Results
The value obtained for the density is 10.27 g cm⁻³. The crystal system is hexagonal. Its energy relative to the lowest polymorph listed for this composition is 0.000 eV/atom.

# 15
DFT (PBE) results for ErZrB after structural relaxation.

Structure (CIF):
```
data_ErZrB
_chemical_formula_sum 'Er4 Zr4 B4'
_cell_length_a 6.119
_cell_length_b 6.119
_cell_length_c 6.119
_cell_angle_alpha 90.00
_cell_angle_beta 90.00
_cell_angle_gamma 90.00
_symmetry_space_group_name_H-M 'F -4 3 m'
_symmetry_Int_Tables_number 216
_symmetry_space_group_name_Hall 'F -4 2 3'
loop_
_atom_site_label
_atom_site_type_symbol
_atom_site_fract_x
_atom_site_fract_y
_atom_site_fract_z
Er1 Er 0.000 0.000 0.000
Zr1 Zr 0.000 0.000 0.500
B1 B 0.250 0.250 0.250
```

Results
The value obtained for the density is 7.81 g cm⁻³. The crystal system is cubic. Its energy relative to the lowest polymorph listed for this composition is 0.000 eV/atom.

# 16
DFT (PBE) results for Tb2GdIn3Fe3 after structural relaxation.

Structure (CIF):
```
data_Tb2GdIn3Fe3
_chemical_formula_sum 'Tb4 Gd2 In6 Fe6'
_cell_length_a 3.906
_cell_length_b 12.979
_cell_length_c 7.477
_cell_angle_alpha 90.00
_cell_angle_beta 90.00
_cell_angle_gamma 90.00
_symmetry_space_group_name_H-M 'A m m 2'
_symmetry_Int_Tables_number 38
_symmetry_space_group_name_Hall 'A 2 -2'
loop_
_atom_site_label
_atom_site_type_symbol
_atom_site_fract_x
_atom_site_fract_y
_atom_site_fract_z
Tb1 Tb 0.000 0.206 0.000
Gd1 Gd 0.000 0.000 0.617
In1 In 0.500 0.000 0.950
In2 In 0.500 0.128 0.333
Fe1 Fe 0.000 0.000 0.205
Fe2 Fe 0.500 0.167 0.705
```

Results
The value obtained for the density is 8.65 g cm⁻³. The crystal system is orthorhombic. Its total energy is -95.585 eV for the cell shown.

# 17
DFT (PBE) results for ErNpPa after structural relaxation.

Structure (CIF):
```
data_ErNpPa
_chemical_formula_sum 'Er4 Np4 Pa4'
_cell_length_a 6.951
_cell_length_b 6.951
_cell_length_c 6.951
_cell_angle_alpha 90.00
_cell_angle_beta 90.00
_cell_angle_gamma 90.00
_symmetry_space_group_name_H-M 'F -4 3 m'
_symmetry_Int_Tables_number 216
_symmetry_space_group_name_Hall 'F -4 2 3'
loop_
_atom_site_label
_atom_site_type_symbol
_atom_site_fract_x
_atom_site_fract_y
_atom_site_fract_z
Er1 Er 0.000 0.000 0.000
Np1 Np 0.250 0.250 0.750
Pa1 Pa 0.250 0.250 0.250
```

Results
The value obtained for the density is 12.57 g cm⁻³. The calculation puts the energy of formation at 1.40 eV/atom. The crystal system is cubic.

# 18
DFT (PBE) results for Cs2ZrAgCl6 after structural relaxation.

Structure (CIF):
```
data_Cs2ZrAgCl6
_chemical_formula_sum 'Cs6 Zr3 Ag3 Cl18'
_cell_length_a 7.5461
_cell_length_b 7.5461
_cell_length_c 18.2391
_cell_angle_alpha 90.00
_cell_angle_beta 90.00
_cell_angle_gamma 120.00
_symmetry_space_group_name_H-M 'R 3'
_symmetry_Int_Tables_number 146
_symmetry_space_group_name_Hall 'R 3'
loop_
_atom_site_label
_atom_site_type_symbol
_atom_site_fract_x
_atom_site_fract_y
_atom_site_fract_z
Cs1 Cs 0.0000 0.0000 0.0000
Cs2 Cs 0.0000 0.0000 0.4993
Zr1 Zr 0.0000 0.0000 0.2500
Ag1 Ag 0.0000 0.0000 0.7503
Cl1 Cl 0.0120 0.4844 0.9967
Cl2 Cl 0.1512 0.8052 0.8363
```

Results
The value obtained for the density is 3.75 g cm⁻³. The crystal system is trigonal. Its total energy is -119.843 eV for the cell shown.

# 19
DFT (PBE) results for PmGdSeO2 after structural relaxation.

Structure (CIF):
```
data_PmGdSeO2
_chemical_formula_sum 'Pm1 Gd1 Se1 O2'
_cell_length_a 3.9100
_cell_length_b 3.9100
_cell_length_c 6.8831
_cell_angle_alpha 90.00
_cell_angle_beta 90.00
_cell_angle_gamma 120.00
_symmetry_space_group_name_H-M 'P 3 m 1'
_symmetry_Int_Tables_number 156
_symmetry_space_group_name_Hall 'P 3 -2"'
loop_
_atom_site_label
_atom_site_type_symbol
_atom_site_fract_x
_atom_site_fract_y
_atom_site_fract_z
Pm1 Pm 0.0000 0.0000 0.0000
Gd1 Gd 0.6667 0.3333 0.4225
Se1 Se 0.3333 0.6667 0.7077
O1 O 0.0000 0.0000 0.3418
O2 O 0.6667 0.3333 0.0893
```

Results
The value obtained for the density is 7.53 g cm⁻³. The crystal system is trigonal. Its total energy is -38.118 eV for the cell shown.

# 20
DFT (PBE) results for NaHoFe after structural relaxation.

Structure (CIF):
```
data_NaHoFe
_chemical_formula_sum 'Na4 Ho4 Fe4'
_cell_length_a 6.727
_cell_length_b 6.727
_cell_length_c 6.727
_cell_angle_alpha 90.00
_cell_angle_beta 90.00
_cell_angle_gamma 90.00
_symmetry_space_group_name_H-M 'F -4 3 m'
_symmetry_Int_Tables_number 216
_symmetry_space_group_name_Hall 'F -4 2 3'
loop_
_atom_site_label
_atom_site_type_symbol
_atom_site_fract_x
_atom_site_fract_y
_atom_site_fract_z
Na1 Na 0.000 0.000 0.000
Ho1 Ho 0.000 0.000 0.500
Fe1 Fe 0.250 0.250 0.750
```

Results
The value obtained for the density is 5.32 g cm⁻³. The crystal system is cubic. Its total energy is -46.886 eV for the cell shown.